{"formula": "P3Se", "functional": "PBE-GGA", "state": "relaxed", "cell": [[4.3982, 0.0460, -0.0054], [-0.3597, 4.5558, -0.0060], [-1.0628, -1.0948, 4.9978]], "species": ["P", "Se", "P", "P"], "frac_coords": [[0.6611, 0.6759, 0.3344], [0.3797, 0.9133, 0.0222], [0.2598, 0.2999, 0.3330], [0.8825, 0.4172, 0.0403]], "e_above_lowest_polymorph_mev_per_atom": 81, "spacegroup": "P1, No. 1", "formation_energy_uncorrected_ev_per_atom": 0.2095}



{"formula": "P4Se5", "functional": "PBE-GGA", "state": "relaxed", "cell": [[-0.2258, -5.3422, 4.2716], [6.5093, -6.4834, -7.7641], [11.9514, 4.5012, 6.2612]], "species": ["Se", "Se", "Se", "Se", "P", "Se", "Se", "P", "Se", "Se", "Se", "Se", "Se", "Se", "Se", "P", "P", "P", "Se", "Se", "P", "Se", "Se", "Se", "P", "Se", "P", "P", "P", "P", "P", "Se", "P", "P", "P", "P"], "frac_coords": [[0.3178, 0.7970, 0.2292], [0.1852, 0.7630, 0.9714], [0.2789, 0.4398, 0.3017], [0.3694, 0.4179, 0.7854], [0.9989, 0.4915, 0.0931], [0.2169, 0.2389, 0.5851], [0.7169, 0.7389, 0.9149], [0.4527, 0.9559, 0.1685], [0.8178, 0.2030, 0.7708], [0.8694, 0.9179, 0.7146], [0.7169, 0.7611, 0.4149], [0.3178, 0.7030, 0.7292], [0.2169, 0.2611, 0.0851], [0.6852, 0.2370, 0.0286], [0.1852, 0.7370, 0.4714], [0.9527, 0.0441, 0.8315], [0.8013, 0.9363, 0.3595], [0.8994, 0.1850, 0.6149], [0.8178, 0.2970, 0.2708], [0.3694, 0.0821, 0.2854], [0.8994, 0.3150, 0.1149], [0.6852, 0.2630, 0.5286], [0.7789, 0.5602, 0.6983], [0.2789, 0.0602, 0.8017], [0.9527, 0.4559, 0.3315], [0.8694, 0.5821, 0.2146], [0.3994, 0.8150, 0.3851], [0.4527, 0.5441, 0.6685], [0.4989, 0.9915, 0.4069], [0.3013, 0.4363, 0.1405], [0.3994, 0.6850, 0.8851], [0.7789, 0.9398, 0.1983], [0.8013, 0.5637, 0.8595], [0.3013, 0.0637, 0.6405], [0.9989, 0.0085, 0.5931], [0.4989, 0.5085, 0.9069]], "spacegroup": "Pna2_1, No. 33", "formation_energy_uncorrected_ev_per_atom": -0.0477}



{"formula": "P2Se", "functional": "PBE-GGA", "state": "relaxed", "cell": [[1.6116, -10.6079, 0.0000], [1.6116, 10.6079, 0.0000], [0.0000, 0.0000, 4.8444]], "species": ["P", "Se", "P", "P", "Se", "P"], "frac_coords": [[0.5946, 0.4054, 0.2500], [0.1182, 0.8818, 0.7500], [0.4054, 0.5946, 0.7500], [0.1654, 0.8346, 0.2500], [0.8818, 0.1182, 0.2500], [0.8346, 0.1654, 0.7500]], "e_above_lowest_polymorph_mev_per_atom": 350, "spacegroup": "Cmcm, No. 63", "formation_energy_uncorrected_ev_per_atom": 0.3607}



{"formula": "P2Se", "functional": "PBE-GGA", "state": "relaxed", "cell": [[-1.2923, -0.0206, 5.1866], [-0.8365, -3.3007, -0.2215], [7.7405, -1.9252, -0.5450]], "species": ["Se", "P", "P", "P", "P", "Se"], "frac_coords": [[0.8065, 0.7500, 0.6667], [0.5318, 0.7500, 0.0989], [0.4682, 0.2500, 0.9011], [0.8786, 0.2500, 0.8753], [0.1214, 0.7500, 0.1247], [0.1935, 0.2500, 0.3333]], "e_above_lowest_polymorph_mev_per_atom": 0, "spacegroup": "P2_1/m, No. 11", "formation_energy_uncorrected_ev_per_atom": 0.0108}



Number 1: total DFT energy (no corrections) -18.88 eV/cell. Number 2: total DFT energy (no corrections) -157.97 eV/cell. Number 3: total DFT energy (no corrections) -26.44 eV/cell. Number 4: total DFT energy (no corrections) -28.54 eV/cell.